## Li6MnFe2O6 (PBE with a Hubbard U)

Data for a relaxed Li6MnFe2O6 crystal.

```
15
Lattice="3.299 -0.007 0.043 -1.637 5.840 -0.103 -0.101 -2.256 7.349" Properties=species:S:1:pos:R:3 pbc="T T T"
O 1.574 -1.608 5.516
O 1.576 1.609 5.964
Fe 1.625 1.074 2.055
Li 1.590 0.184 4.571
O 1.615 2.977 2.987
Li -0.021 3.191 1.910
Mn -0.053 2.297 4.454
Li 1.560 -0.244 6.889
O -0.004 5.039 1.009
Li 1.600 4.403 4.380
O -0.045 0.362 3.494
O -0.003 1.809 0.549
Li -0.087 1.401 6.997
Li 1.631 4.828 2.062
Fe 1.568 3.511 6.896
```

Values from the calculation:
density = 3.59 g/cm³
space group = C2/m (12)
total DFT energy (no corrections) = -85.17 eV for the cell shown
magnetic moment = 12.956 μB/f.u.